Entry from OQMD: a relaxed As4W3 crystal (GGA-PBE).

a = 6.840 Å, b = 6.840 Å, c = 6.460 Å
α = 114.00°, β = 114.00°, γ = 26.77°
Positions (direct):
1 As 0.356 0.356 0.038
2 As 0.090 0.090 0.437
3 As 0.910 0.910 0.563
4 As 0.644 0.644 0.962
5 W 0.000 0.000 0.000
6 W 0.256 0.256 0.324
7 W 0.744 0.744 0.676

uncorrected energy	-57.6	eV per cell
crystal system	monoclinic